Crystalline LiBe2Os at its relaxed geometry. Source: Alexandria, functional GGA-PBE.

Lattice parameters (Å, degrees): 8.246 8.246 8.246 18.59 18.59 18.59
Fractional coordinates of all 4 atoms:
Li 0.250 0.250 0.250
Be 0.007 0.007 0.007
Be 0.493 0.493 0.493
Os 0.750 0.750 0.750

- DFT formation energy (meV per atom) = 157
- space group = R-3m (166)
- raw total energy (Ry/atom) = -0.367